Entry 1:
DFT (GGA-PBEsol) results for LaFe3Hg after structural relaxation.

```
LaFe3Hg
1.0
-0.624 -0.639 4.733
2.317 -4.214 -0.264
4.176 2.243 0.853
Fe Hg La
3 1 1
direct
0.000 0.500 0.000 Fe
0.000 0.000 0.500 Fe
0.500 0.000 0.000 Fe
0.000 0.000 0.000 Hg
0.500 0.500 0.500 La
```

Properties
The calculation puts the density of states at the Fermi level at 9.9 states/eV/f.u. The formation energy comes out at 1110 meV/atom.

Entry 2:
DFT (GGA-PBEsol) results for LiFe4Hg after structural relaxation.

```
LiFe4Hg
1.0
4.786 0.000 0.000
2.393 4.145 0.000
2.393 1.382 3.908
Fe Hg Li
4 1 1
direct
0.878 0.374 0.374 Fe
0.374 0.374 0.878 Fe
0.374 0.374 0.374 Fe
0.374 0.878 0.374 Fe
0.750 0.750 0.750 Hg
0.000 0.000 0.000 Li
```

Properties
The calculation puts the density of states at the Fermi level at 5.7 states/eV/f.u. The formation energy comes out at 256 meV/atom.

Entry 3:
DFT (GGA-PBEsol) results for LiFeHg after structural relaxation.

```
LiFeHg
1.0
4.277 0.000 0.000
2.138 3.704 0.000
2.138 1.235 3.492
Li Fe Hg
1 1 1
direct
0.000 0.000 0.000 Li
0.500 0.500 0.500 Fe
0.750 0.750 0.750 Hg
```

Properties
The calculation puts the density of states at the Fermi level at 2.1 states/eV/f.u. The formation energy comes out at 499 meV/atom.

Entry 4:
DFT (GGA-PBEsol) results for Li4FeHg after structural relaxation.

```
Li4FeHg
1.0
-1.599 -4.599 0.821
2.206 -2.809 3.409
-2.351 -1.083 4.205
Li Hg Fe
4 1 1
direct
0.375 0.375 0.375 Li
0.874 0.375 0.375 Li
0.375 0.874 0.375 Li
0.375 0.375 0.874 Li
0.000 0.000 0.000 Hg
0.750 0.750 0.750 Fe
```

Properties
The calculation puts the density of states at the Fermi level at 6.6 states/eV/f.u. The formation energy comes out at 226 meV/atom.